Record 1
The following is a DFT calculation (PBE-GGA) of a relaxed Cu2Si2I crystal.

Summary:
The calculation puts the total energy at -18.97 eV/f.u. For the polymorph energy (0 for the lowest one), the calculation gives 0.00 kcal/mol of atoms. The calculation puts the density of states at the Fermi level at 3.74 states/eV/cell. The raw formation energy is 0.32 eV/atom.

abc: 3.6890 3.6890 14.0032
angles: 90.00 90.00 90.00
With the nearest neighbours (Å) after each atom.
Space group I4/mmm (No. 139)
Unique sites:
Cu  0.0000  0.0000  0.1358 x4  4 Si 2.44
Si  0.0000  0.5000  0.2500 x4  4 Cu 2.44, 4 Si 2.61
I  0.0000  0.0000  0.5000 x2  8 Cu 3.23

***

Record 2
The following is a DFT calculation (PBE-GGA) of a relaxed TmPuRuPb crystal.

Summary:
The calculation puts the total energy at -32.00 eV/f.u. For the polymorph energy (0 for the lowest one), the calculation gives 6.04 kcal/mol of atoms. Its calculated formation energy is -0.05 eV per atom. The calculation puts the density of states at the Fermi level at 30.56 states/eV/cell.

abc: 7.2079 7.2079 7.2079
angles: 90.00 90.00 90.00
With the nearest neighbours (Å) after each atom.
Space group F-43m (No. 216)
Unique sites:
Tm  0.0000  0.0000  0.0000 x4  4 Pb 3.12, 4 Ru 3.12
Pu  0.0000  0.0000  0.5000 x4  4 Pb 3.12, 4 Ru 3.12
Ru  0.2500  0.2500  0.7500 x4  4 Tm 3.12, 4 Pu 3.12
Pb  0.2500  0.2500  0.2500 x4  4 Pu 3.12, 4 Tm 3.12

***

Record 3
The following is a DFT calculation (PBE-GGA) of a relaxed CsZr2CdCl crystal.

Summary:
The calculation puts the total energy at -11.66 eV/f.u. The calculation puts the density of states at the Fermi level at 5.76 states/eV/cell. The raw formation energy is 1.81 eV/atom.

abc: 5.3903 5.3903 6.2174
angles: 90.00 90.00 90.00
With the nearest neighbours (Å) after each atom.
Space group P4/mmm (No. 123)
Unique sites:
Cs  0.0000  0.0000  0.0000 x1  4 Zr 2.70
Zr  0.0000  0.5000  0.0000 x2  2 Cs 2.70
Cd  0.0000  0.0000  0.5000 x1  2 Cs 3.11
Cl  0.5000  0.5000  0.5000 x1  4 Cd 3.81, 8 Zr 4.11